! Pb9Br10O4 | Alexandria | GGA-PBEsol | optimized geometry; values from VASP
&SYSTEM
  ibrav = 0, nat = 46, ntyp = 3
/
ATOMIC_SPECIES
Pb 207.20 Pb.upf
Br 79.90 Br.upf
O 16.00 O.upf
CELL_PARAMETERS angstrom
12.228 0.000 0.000
0.000 12.228 0.000
0.000 0.000 8.282
ATOMIC_POSITIONS angstrom
Pb 0.083 10.046 1.539
Pb 1.332 9.805 5.361
Pb 2.182 6.197 6.744
Pb 2.423 7.446 2.921
Pb 3.057 3.057 1.754
Pb 3.691 10.896 2.921
Pb 3.932 12.145 6.744
Pb 4.782 8.537 5.361
Pb 6.031 8.296 1.539
Pb 6.197 3.932 6.744
Pb 7.446 3.691 2.921
Pb 8.296 0.083 1.539
Pb 8.537 1.332 5.361
Pb 9.171 9.171 6.528
Pb 9.805 4.782 5.361
Pb 10.046 6.031 1.539
Pb 10.896 2.423 2.921
Pb 12.145 2.182 6.744
Br 0.516 4.590 1.019
Br 0.777 4.534 4.847
Br 1.524 0.516 1.019
Br 1.580 0.777 4.847
Br 3.057 3.057 7.266
Br 3.057 9.171 0.000
Br 4.534 5.337 4.847
Br 4.590 5.598 1.019
Br 5.337 1.580 4.847
Br 5.598 1.524 1.019
Br 6.630 10.704 7.263
Br 6.891 10.648 3.435
Br 7.638 6.630 7.263
Br 7.694 6.891 3.435
Br 9.171 3.057 0.000
Br 9.171 9.171 1.017
Br 10.648 11.451 3.435
Br 10.704 11.712 7.263
Br 11.451 7.694 3.435
Br 11.712 7.638 7.263
O 1.706 9.701 3.090
O 2.527 7.820 5.193
O 3.587 10.522 5.193
O 4.408 8.641 3.090
O 7.820 3.587 5.193
O 8.641 1.706 3.090
O 9.701 4.408 3.090
O 10.522 2.527 5.193
! - calculated volume (A^3/atom) = 26.9
! - DOS at the Fermi energy (states/eV per cell) = 0.00
! - total DFT energy (no corrections) (eV/atom) = -4.2837